(1)
The following is a PBE calculation of a relaxed HfNi9Sb2 crystal, from Alexandria via LeMat-Bulk.

Geometry as POSCAR:
```
HfNi9Sb2
1.0
-0.3458 -3.7220 -0.0780
3.6930 -0.3330 -0.4792
1.4012 -0.3618 11.0501
Hf Ni Sb
1 9 2
Direct
0.0000 0.0000 0.0000 Hf
0.5000 0.5000 0.0000 Ni
0.5000 0.5000 0.3350 Ni
0.5000 0.5000 0.6650 Ni
0.5000 0.0000 0.1664 Ni
0.5000 0.0000 0.5000 Ni
0.5000 0.0000 0.8336 Ni
0.0000 0.5000 0.1664 Ni
0.0000 0.5000 0.5000 Ni
0.0000 0.5000 0.8336 Ni
0.0000 0.0000 0.3331 Sb
0.0000 0.0000 0.6669 Sb
```

Summary:
formation energy without anion corrections = -0.268 eV/atom
E above lowest polymorph = 0.00 kcal/mol of atoms


(2)
The following is a PBE calculation of a relaxed HfNi2Sb crystal, from Alexandria via LeMat-Bulk.

Geometry as POSCAR:
```
HfNi2Sb
1.0
4.1191 0.0000 0.0000
0.0000 4.1191 0.0000
2.0596 2.0596 8.4842
Sb Hf Ni
2 2 4
Direct
0.5000 0.5000 0.0000 Sb
0.2500 0.7500 0.5000 Sb
0.0000 0.0000 0.0000 Hf
0.7500 0.2500 0.5000 Hf
0.6120 0.1250 0.2500 Ni
0.1380 0.6250 0.2500 Ni
0.3750 0.3880 0.7500 Ni
0.8750 0.8620 0.7500 Ni
```

Summary:
formation energy without anion corrections = -0.010 eV/atom


(3)
The following is a PBE calculation of a relaxed Hf2NiSb crystal, from Alexandria via LeMat-Bulk.

Geometry as POSCAR:
```
Hf2NiSb
1.0
-1.5527 2.4634 1.0873
-1.4962 -0.1819 2.7184
7.1972 3.8509 5.9961
Sb Hf Ni
1 2 1
Direct
0.5000 0.5000 0.5000 Sb
0.0822 0.0822 0.7535 Hf
0.9178 0.9178 0.2465 Hf
0.0000 0.0000 0.0000 Ni
```

Summary:
formation energy without anion corrections = 0.381 eV/atom


(4)
The following is a PBE calculation of a relaxed Hf3NiSb7 crystal, from Alexandria via LeMat-Bulk.

Geometry as POSCAR:
```
Hf3NiSb7
1.0
-2.8336 2.7334 0.3623
-8.0109 -6.9991 -9.8505
-7.4573 -9.4219 12.7592
Hf Ni Sb
12 4 28
Direct
0.2500 0.3093 0.8465 Hf
0.2500 0.1907 0.3465 Hf
0.7500 0.6907 0.1535 Hf
0.7500 0.8093 0.6535 Hf
0.2500 0.0288 0.8702 Hf
0.2500 0.4712 0.3702 Hf
0.7500 0.9712 0.1298 Hf
0.7500 0.5288 0.6298 Hf
0.2500 0.5903 0.8932 Hf
0.2500 0.9097 0.3932 Hf
0.7500 0.4097 0.1068 Hf
0.7500 0.0903 0.6068 Hf
0.2500 0.8108 0.9376 Ni
0.2500 0.6892 0.4376 Ni
0.7500 0.1892 0.0624 Ni
0.7500 0.3108 0.5624 Ni
0.2500 0.2020 0.5211 Sb
0.2500 0.2980 0.0211 Sb
0.7500 0.7980 0.4789 Sb
0.7500 0.7020 0.9789 Sb
0.2500 0.4239 0.5374 Sb
0.2500 0.0761 0.0374 Sb
0.7500 0.5761 0.4626 Sb
0.7500 0.9239 0.9626 Sb
0.2500 0.9398 0.5720 Sb
0.2500 0.5602 0.0720 Sb
0.7500 0.0602 0.4280 Sb
0.7500 0.4398 0.9280 Sb
0.2500 0.6747 0.5932 Sb
0.2500 0.8253 0.0932 Sb
0.7500 0.3253 0.4068 Sb
0.7500 0.1747 0.9068 Sb
0.2500 0.1457 0.7275 Sb
0.2500 0.3543 0.2275 Sb
0.7500 0.8543 0.2725 Sb
0.7500 0.6457 0.7725 Sb
0.2500 0.4785 0.7481 Sb
0.2500 0.0215 0.2481 Sb
0.7500 0.5215 0.2519 Sb
0.7500 0.9785 0.7519 Sb
0.2500 0.8151 0.7902 Sb
0.2500 0.6849 0.2902 Sb
0.7500 0.1849 0.2098 Sb
0.7500 0.3151 0.7098 Sb
```

Summary:
formation energy without anion corrections = -0.394 eV/atom


(5)
The following is a PBE calculation of a relaxed Hf3Ni3Sb4 crystal, from Alexandria via LeMat-Bulk.

Geometry as POSCAR:
```
Hf3Ni3Sb4
1.0
7.8756 0.0000 0.0000
-2.6252 7.4252 0.0000
-2.6252 -3.7126 6.4304
Hf Ni Sb
6 6 8
Direct
0.6250 0.3750 0.2500 Hf
0.8750 0.1250 0.7500 Hf
0.3750 0.2500 0.6250 Hf
0.1250 0.7500 0.8750 Hf
0.2500 0.6250 0.3750 Hf
0.7500 0.8750 0.1250 Hf
0.1250 0.8750 0.2500 Ni
0.3750 0.6250 0.7500 Ni
0.8750 0.2500 0.1250 Ni
0.6250 0.7500 0.3750 Ni
0.2500 0.1250 0.8750 Ni
0.7500 0.3750 0.6250 Ni
0.1666 0.1666 0.1666 Sb
0.3334 0.5000 0.0000 Sb
0.0000 0.3334 0.5000 Sb
0.6666 0.6666 0.6666 Sb
0.5000 0.0000 0.3334 Sb
0.8334 0.5000 0.0000 Sb
0.5000 0.0000 0.8334 Sb
0.0000 0.8334 0.5000 Sb
```

Summary:
formation energy without anion corrections = -0.569 eV/atom


(6)
The following is a PBE calculation of a relaxed Hf2ScNi2 crystal, from Alexandria via LeMat-Bulk.

Geometry as POSCAR:
```
Hf2ScNi2
1.0
7.2713 0.0000 0.0000
0.0000 7.2713 0.0000
0.0000 0.0000 3.2171
Sc Ni Hf
2 4 4
Direct
0.0000 0.0000 0.0000 Sc
0.5000 0.5000 0.0000 Sc
0.3746 0.8746 0.0000 Ni
0.8746 0.6254 0.0000 Ni
0.6254 0.1254 0.0000 Ni
0.1254 0.3746 0.0000 Ni
0.1663 0.6663 0.5000 Hf
0.6663 0.8337 0.5000 Hf
0.8337 0.3337 0.5000 Hf
0.3337 0.1663 0.5000 Hf
```

Summary:
E above lowest polymorph = 0.00 kcal/mol of atoms


(7)
The following is a PBE calculation of a relaxed HfScNi6 crystal, from Alexandria via LeMat-Bulk.

Geometry as POSCAR:
```
HfScNi6
1.0
6.4307 0.2872 0.0000
-2.4326 5.9598 0.0000
0.0000 0.0000 10.5220
Hf Sc Ni
4 4 24
Direct
0.7502 0.2498 0.7500 Hf
0.2498 0.7502 0.7500 Hf
0.0000 0.0000 0.4984 Hf
0.0000 0.0000 0.0016 Hf
0.7504 0.2496 0.2500 Sc
0.2496 0.7504 0.2500 Sc
0.5000 0.5000 0.4984 Sc
0.5000 0.5000 0.0016 Sc
0.7502 0.2498 0.5006 Ni
0.6251 0.8754 0.3752 Ni
0.3749 0.1246 0.3752 Ni
0.2498 0.7502 0.5006 Ni
0.1246 0.3749 0.3752 Ni
0.8754 0.6251 0.3752 Ni
0.5000 0.5000 0.7500 Ni
0.3746 0.1250 0.6254 Ni
0.1250 0.3746 0.6254 Ni
0.7502 0.2498 0.9994 Ni
0.6254 0.8750 0.8746 Ni
0.3746 0.1250 0.8746 Ni
0.2498 0.7502 0.9994 Ni
0.1250 0.3746 0.8746 Ni
0.8750 0.6254 0.8746 Ni
0.5000 0.5000 0.2500 Ni
0.3749 0.1246 0.1248 Ni
0.1246 0.3749 0.1248 Ni
0.0000 0.0000 0.7500 Ni
0.8750 0.6254 0.6254 Ni
0.6254 0.8750 0.6254 Ni
0.0000 0.0000 0.2500 Ni
0.8754 0.6251 0.1248 Ni
0.6251 0.8754 0.1248 Ni
```

Summary:
calculated total energy = -6.845 eV/atom


(8)
The following is a PBE calculation of a relaxed Hf2ScNi crystal, from Alexandria via LeMat-Bulk.

Geometry as POSCAR:
```
Hf2ScNi
1.0
5.7639 0.0000 0.0000
0.0000 6.1356 0.0000
0.0000 0.0000 9.0447
Hf Sc Ni
8 4 4
Direct
0.1709 0.6843 0.0568 Hf
0.3291 0.1843 0.4432 Hf
0.8291 0.3157 0.5568 Hf
0.6709 0.8157 0.9432 Hf
0.8291 0.3157 0.9432 Hf
0.6709 0.8157 0.5568 Hf
0.1709 0.6843 0.4432 Hf
0.3291 0.1843 0.0568 Hf
0.6453 0.5208 0.2500 Sc
0.8547 0.0208 0.2500 Sc
0.3547 0.4792 0.7500 Sc
0.1453 0.9792 0.7500 Sc
0.0821 0.3908 0.2500 Ni
0.4179 0.8908 0.2500 Ni
0.9179 0.6092 0.7500 Ni
0.5821 0.1092 0.7500 Ni
```

Summary:
E above lowest polymorph = 0.26 kcal/mol of atoms